Here is a relaxed Nd2MnCrO6 crystal from Alexandria. Energies are from GGA+U.

Cell and atoms, written as POSCAR:
```
Nd2MnCrO6
1.0
5.624 0.000 0.000
0.000 5.446 0.045
0.000 5.452 7.801
Mn O Cr Nd
2 12 2 4
direct
0.000 0.000 0.500
0.500 0.000 0.000
0.977 0.841 0.748
0.477 0.159 0.752
0.793 0.251 0.953
0.705 0.660 0.045
0.293 0.749 0.547
0.207 0.749 0.047
0.795 0.660 0.545
0.523 0.841 0.248
0.295 0.340 0.955
0.023 0.159 0.252
0.205 0.340 0.455
0.707 0.251 0.453
0.000 0.500 0.000
0.500 0.500 0.500
0.444 0.264 0.251
0.556 0.736 0.749
0.944 0.736 0.249
0.056 0.264 0.751
```

Calculated values
Total magnetic moment   10.00 Bohr magnetons per cell
Uncorrected energy   -158.84 eV for the cell shown
Volume   238 Å³ per cell
Symmetry   P2_1/c (14)